[1]
Computed, not measured: an optimized crystal structure of MoPIr2 at the PBE level of DFT.

Results
DOS(E_F): 3.487 states/eV per cell
formation energy from the elements: 0.4 eV/f.u.
mass density: 14.8 Mg/m³

abc: 4.6410 4.6410 4.6410
angles: 129.80 129.80 73.72
Last column: nearest neighbours and their distance in Å.
Atoms (fractional coordinates):
Ir  0.2500  0.7500  0.5000  4 Mo 2.71, 4 Ir 2.71, 4 P 2.78
P  0.7500  0.2500  0.5000  4 Mo 2.71, 8 Ir 2.71-2.78
Ir  0.0000  0.0000  0.0000  4 Ir 2.71, 4 P 2.71, 4 Mo 2.78
Mo  0.5000  0.5000  0.0000  8 Ir 2.71-2.78, 4 P 2.71



[2]
Computed, not measured: an optimized crystal structure of Be2GeAu2 at the PBE level of DFT.

Results
DOS(E_F): 2.460 states/eV per cell
formation energy from the elements: 0.3 eV/f.u.
mass density: 11.0 Mg/m³

abc: 7.1787 7.1787 2.8440
angles: 90.00 90.00 90.00
Last column: nearest neighbours and their distance in Å.
Atoms (fractional coordinates):
Be  0.1209  0.3791  0.0000  1 Be 2.45, 6 Au 2.52-2.59
Be  0.6209  0.1209  0.0000  1 Be 2.45, 6 Au 2.52-2.59
Au  0.6660  0.8340  0.5000  6 Be 2.52-2.59
Be  0.3791  0.8791  0.0000  1 Be 2.45, 6 Au 2.52-2.59
Ge  0.5000  0.5000  0.0000  2 Ge 2.84, 4 Be 2.86, 8 Au 3.03
Be  0.8791  0.6209  0.0000  1 Be 2.45, 6 Au 2.52-2.59
Ge  0.0000  0.0000  0.0000  2 Ge 2.84, 4 Be 2.86, 8 Au 3.03
Au  0.8340  0.3340  0.5000  6 Be 2.52-2.59
Au  0.3340  0.1660  0.5000  6 Be 2.52-2.59
Au  0.1660  0.6660  0.5000  6 Be 2.52-2.59



[3]
Computed, not measured: an optimized crystal structure of Tm5Ga2 at the PBE level of DFT.

Results
DOS(E_F): 14.158 states/eV per cell
formation energy from the elements: -2.0 eV/f.u.
mass density: 9.2 Mg/m³

abc: 6.4257 7.8257 8.7086
angles: 116.70 111.65 90.00
Last column: nearest neighbours and their distance in Å.
Atoms (fractional coordinates):
Tm  0.0192  0.2692  0.5384  4 Ga 3.07-3.10, 5 Tm 3.21-3.33
Tm  0.2500  0.5000  0.0000  8 Tm 3.21-3.32, 4 Ga 3.26
Tm  0.5192  0.2692  0.5384  4 Ga 3.07-3.10, 5 Tm 3.21-3.33
Ga  0.8720  0.0934  0.7440  10 Tm 3.03-3.31
Tm  0.7500  0.5000  0.0000  8 Tm 3.21-3.32, 4 Ga 3.26
Tm  0.4170  0.0773  0.8341  4 Ga 3.03-3.31, 4 Tm 3.32-3.33
Ga  0.6280  0.3495  0.2560  10 Tm 3.03-3.31
Ga  0.1280  0.9066  0.2560  10 Tm 3.03-3.31
Tm  0.5830  0.9227  0.1659  4 Ga 3.03-3.31, 4 Tm 3.32-3.33
Tm  0.9170  0.7568  0.8341  4 Ga 3.03-3.31, 4 Tm 3.32-3.33
Tm  0.0830  0.2432  0.1659  4 Ga 3.03-3.31, 4 Tm 3.32-3.33
Ga  0.3720  0.6505  0.7440  10 Tm 3.03-3.31
Tm  0.9808  0.7308  0.4616  4 Ga 3.07-3.10, 5 Tm 3.21-3.33
Tm  0.4808  0.7308  0.4616  4 Ga 3.07-3.10, 5 Tm 3.21-3.33



[4]
Computed, not measured: an optimized crystal structure of Th2Mg3Cd at the PBE level of DFT.

Results
DOS(E_F): 12.261 states/eV per cell
formation energy from the elements: -0.3 eV/f.u.
mass density: 7.0 Mg/m³

abc: 6.1335 6.1335 9.4379
angles: 90.00 90.00 120.00
Last column: nearest neighbours and their distance in Å.
Atoms (fractional coordinates):
Th  0.3333  0.6667  0.9272  1 Th 3.35, 9 Mg 3.49-3.50, 3 Cd 3.61
Th  0.6667  0.3333  0.0728  1 Th 3.35, 9 Mg 3.49-3.50, 3 Cd 3.61
Cd  0.0000  0.0000  0.0000  6 Mg 2.97
Mg  0.3408  0.1704  0.7500  2 Cd 2.97, 4 Mg 3.00-3.14
Mg  0.8296  0.1704  0.7500  2 Cd 2.97, 4 Mg 3.00-3.14
Mg  0.1704  0.8296  0.2500  2 Cd 2.97, 4 Mg 3.00-3.14
Mg  0.8296  0.6592  0.7500  2 Cd 2.97, 4 Mg 3.00-3.14
Mg  0.6592  0.8296  0.2500  2 Cd 2.97, 4 Mg 3.00-3.14
Th  0.3333  0.6667  0.5728  1 Th 3.35, 9 Mg 3.49-3.50, 3 Cd 3.61
Cd  0.0000  0.0000  0.5000  6 Mg 2.97
Mg  0.1704  0.3408  0.2500  2 Cd 2.97, 4 Mg 3.00-3.14
Th  0.6667  0.3333  0.4272  1 Th 3.35, 9 Mg 3.49-3.50, 3 Cd 3.61



[5]
Computed, not measured: an optimized crystal structure of SrTcSb2 at the PBE level of DFT.

Results
formation energy from raw total energies: -0.24 eV/atom
DOS(E_F): 3.120 states/eV per cell
mass density: 6.9 Mg/m³

abc: 4.4886 4.4886 7.0919
angles: 78.78 78.78 47.34
Last column: nearest neighbours and their distance in Å.
Atoms (fractional coordinates):
Sb  0.5178  0.5178  0.4319  3 Tc 2.74-2.78
Sr  0.7500  0.7500  0.7500  6 Sb 3.25-3.33, 2 Sr 3.60
Tc  0.2500  0.2500  0.2500  6 Sb 2.74-2.78
Sb  0.9822  0.9822  0.0681  3 Tc 2.74-2.78



[6]
Computed, not measured: an optimized crystal structure of Hf2ZrNb2 at the PBE level of DFT.

Results
DOS(E_F): 6.801 states/eV per cell
formation energy from the elements: 1.5 eV/f.u.
mass density: 9.4 Mg/m³

abc: 3.2785 5.0084 6.8331
angles: 90.00 83.27 90.00
Last column: nearest neighbours and their distance in Å.
Atoms (fractional coordinates):
Nb  0.3067  0.0000  0.3487  2 Nb 2.55-2.71, 1 Zr 2.69
Zr  0.0000  0.0000  0.0000  2 Nb 2.69
Nb  0.6933  0.0000  0.6513  2 Nb 2.55-2.71, 1 Zr 2.69
Hf  0.2063  0.5000  0.6985  4 Nb 2.97-3.05, 4 Hf 3.14-3.28, 2 Zr 3.26
Hf  0.7937  0.5000  0.3015  4 Nb 2.97-3.05, 4 Hf 3.14-3.28, 2 Zr 3.26



[7]
Computed, not measured: an optimized crystal structure of NpPaP2O at the PBE level of DFT.

Results
formation energy from raw total energies: -1.52 eV/atom
DOS(E_F): 20.590 states/eV per cell
mass density: 9.2 Mg/m³

abc: 3.8898 3.8898 13.0561
angles: 90.00 90.00 90.00
Last column: nearest neighbours and their distance in Å.
Atoms (fractional coordinates):
P  0.0000  0.5000  0.1121  5 Pa 2.75-2.93
P  0.5000  0.0000  0.8879  5 Pa 2.75-2.93
P  0.5000  0.0000  0.3143  1 Pa 2.64
O  0.0000  0.0000  0.5000  4 Np 2.32
Np  0.0000  0.5000  0.4030  4 O 2.32
O  0.5000  0.5000  0.5000  4 Np 2.32
P  0.0000  0.5000  0.6857  1 Pa 2.64
Np  0.5000  0.0000  0.5970  4 O 2.32
Pa  0.5000  0.0000  0.1124  6 P 2.64-2.93
Pa  0.0000  0.5000  0.8876  6 P 2.64-2.93



[8]
Computed, not measured: an optimized crystal structure of BeInSb3 at the PBE level of DFT.

Results
formation energy from raw total energies: 0.40 eV/atom
DOS(E_F): 3.159 states/eV per cell
mass density: 6.4 Mg/m³

abc: 5.0262 5.0262 5.0262
angles: 90.00 90.00 90.00
Last column: nearest neighbours and their distance in Å.
Atoms (fractional coordinates):
Sb  0.0000  0.0000  0.5000  2 Be 2.51
Sb  0.5000  0.0000  0.0000  2 Be 2.51
Sb  0.0000  0.5000  0.0000  2 Be 2.51
Be  0.0000  0.0000  0.0000  6 Sb 2.51
In  0.5000  0.5000  0.5000  12 Sb 3.55



DOS(E_F) of number 3 (Tm5Ga2)? 14.158 states/eV per cell



Which value of mass density does entry 8 give? 6.4 Mg/m³



Among the records above, which one has the highest mass density? MoPIr2



Which value of mass density does entry 3 give? 9.2 Mg/m³